Tc2Rh2Au | PBE | relaxed

energy of formation: 85 kJ/mol of formula units
volume: 156 Å³/cell
crystal system: tetragonal

Lattice parameters (Å, degrees): 7.578 7.578 2.717 90.00 90.00 90.00
Sites, in units of the cell vectors:
Tc  0.172  0.328  0.000
Tc  0.328  0.828  0.000
Tc  0.672  0.172  0.000
Tc  0.828  0.672  0.000
Rh  0.123  0.623  0.500
Rh  0.377  0.123  0.500
Rh  0.623  0.877  0.500
Rh  0.877  0.377  0.500
Au  0.000  0.000  0.500
Au  0.500  0.500  0.500

---

BaNdZnCd | PBE | relaxed

energy of formation: -64 kJ/mol of formula units
volume: 125 Å³/cell
crystal system: cubic

Lattice parameters (Å, degrees): 5.614 5.614 5.614 60.00 60.00 60.00
Sites, in units of the cell vectors:
Ba  0.000  0.000  0.000
Nd  0.500  0.500  0.500
Zn  0.750  0.750  0.750
Cd  0.250  0.250  0.250

---

SrTlIF2 | PBE | relaxed

ΔE_f (raw): -2.380 eV/atom
volume: 158 Å³/cell
crystal system: tetragonal

Lattice parameters (Å, degrees): 4.807 4.807 6.857 90.00 90.00 90.00
Sites, in units of the cell vectors:
Sr  0.000  0.000  0.000
Tl  0.500  0.500  0.500
I  0.000  0.000  0.500
F  0.000  0.500  0.000
F  0.500  0.000  0.000

---

Nd4MgAl3 | PBE | relaxed

energy of formation: -231 kJ/mol of formula units
volume: 426 Å³/cell
crystal system: orthorhombic

Lattice parameters (Å, degrees): 10.624 7.556 5.313 90.00 90.00 90.00
Sites, in units of the cell vectors:
Nd  0.000  0.245  0.000
Nd  0.000  0.755  0.000
Nd  0.250  0.245  0.499
Nd  0.250  0.755  0.499
Nd  0.500  0.245  0.000
Nd  0.500  0.755  0.000
Nd  0.750  0.245  0.501
Nd  0.750  0.755  0.501
Mg  0.000  0.500  0.500
Mg  0.500  0.500  0.500
Al  0.000  0.000  0.500
Al  0.250  0.000  0.999
Al  0.250  0.500  0.999
Al  0.500  0.000  0.500
Al  0.750  0.000  0.001
Al  0.750  0.500  0.001